Entry 1:
# BaNiAg, relaxed, DFT PBE-GGA
data_BaNiAg
_chemical_formula_sum 'Ba4 Ni4 Ag4'
_cell_length_a 7.4880
_cell_length_b 7.4880
_cell_length_c 7.4880
_cell_angle_alpha 90.00
_cell_angle_beta 90.00
_cell_angle_gamma 90.00
_symmetry_space_group_name_H-M 'F -4 3 m'
_symmetry_Int_Tables_number 216
_symmetry_space_group_name_Hall 'F -4 2 3'
loop_
_atom_site_label
_atom_site_type_symbol
_atom_site_fract_x
_atom_site_fract_y
_atom_site_fract_z
_atom_site_occupancy
Ba1 Ba 0.0000 0.0000 0.0000 1
Ni1 Ni 0.2500 0.2500 0.2500 1
Ag1 Ag 0.2500 0.2500 0.7500 1
# calculated total energy = -8.3 eV per formula unit

Entry 2:
# LaSiSb2, relaxed, DFT PBE-GGA
data_LaSiSb2
_chemical_formula_sum 'La3 Si3 Sb6'
_cell_length_a 4.1407
_cell_length_b 4.1407
_cell_length_c 23.7486
_cell_angle_alpha 90.00
_cell_angle_beta 90.00
_cell_angle_gamma 120.00
_symmetry_space_group_name_H-M 'R 3 m'
_symmetry_Int_Tables_number 160
_symmetry_space_group_name_Hall 'R 3 -2"'
loop_
_atom_site_label
_atom_site_type_symbol
_atom_site_fract_x
_atom_site_fract_y
_atom_site_fract_z
_atom_site_occupancy
La1 La 0.0000 0.0000 0.0000 1
Si1 Si 0.0000 0.0000 0.2535 1
Sb1 Sb 0.0000 0.0000 0.5297 1
Sb2 Sb 0.0000 0.0000 0.7616 1
# formation energy (no corrections) = -0.921 eV/f.u.

Entry 3:
# TlPt2W, relaxed, DFT PBE-GGA
data_TlPt2W
_chemical_formula_sum 'Tl1 Pt2 W1'
_cell_length_a 4.0249
_cell_length_b 4.0249
_cell_length_c 4.2726
_cell_angle_alpha 90.00
_cell_angle_beta 90.00
_cell_angle_gamma 90.00
_symmetry_space_group_name_H-M 'P 4/m m m'
_symmetry_Int_Tables_number 123
_symmetry_space_group_name_Hall '-P 4 2'
loop_
_atom_site_label
_atom_site_type_symbol
_atom_site_fract_x
_atom_site_fract_y
_atom_site_fract_z
_atom_site_occupancy
Tl1 Tl 0.0000 0.0000 0.0000 1
Pt1 Pt 0.0000 0.5000 0.5000 1
W1 W 0.5000 0.5000 0.0000 1
# relative energy among the computed polymorphs = 483.4 meV per atom

Entry 4:
# TbYBeAu, relaxed, DFT PBE-GGA
data_TbYBeAu
_chemical_formula_sum 'Tb4 Y4 Be4 Au4'
_cell_length_a 7.0873
_cell_length_b 7.0873
_cell_length_c 7.0873
_cell_angle_alpha 90.00
_cell_angle_beta 90.00
_cell_angle_gamma 90.00
_symmetry_space_group_name_H-M 'F -4 3 m'
_symmetry_Int_Tables_number 216
_symmetry_space_group_name_Hall 'F -4 2 3'
loop_
_atom_site_label
_atom_site_type_symbol
_atom_site_fract_x
_atom_site_fract_y
_atom_site_fract_z
_atom_site_occupancy
Tb1 Tb 0.0000 0.0000 0.0000 1
Y1 Y 0.0000 0.0000 0.5000 1
Be1 Be 0.2500 0.2500 0.7500 1
Au1 Au 0.2500 0.2500 0.2500 1
# calculated total energy = -19.4 eV per formula unit

Entry 5:
# Er3AlS6, relaxed, DFT PBE-GGA
data_Er3AlS6
_chemical_formula_sum 'Er12 Al4 S24'
_cell_length_a 10.6174
_cell_length_b 13.2189
_cell_length_c 6.4069
_cell_angle_alpha 90.00
_cell_angle_beta 90.00
_cell_angle_gamma 90.00
_symmetry_space_group_name_H-M 'C m c 21'
_symmetry_Int_Tables_number 36
_symmetry_space_group_name_Hall 'C 2c -2'
loop_
_atom_site_label
_atom_site_type_symbol
_atom_site_fract_x
_atom_site_fract_y
_atom_site_fract_z
_atom_site_occupancy
Er1 Er 0.0000 0.0982 0.0000 1
Er2 Er 0.1845 0.4000 0.0883 1
Al1 Al 0.0000 0.2991 0.6282 1
S1 S 0.0000 0.2832 0.2770 1
S2 S 0.0000 0.4586 0.7688 1
S3 S 0.1628 0.0295 0.2933 1
S4 S 0.1649 0.2326 0.8033 1
# formation energy (no corrections) = -18.296 eV/f.u.

Entry 6:
# YCd9Au3, relaxed, DFT PBE-GGA
data_YCd9Au3
_chemical_formula_sum 'Y2 Cd18 Au6'
_cell_length_a 5.6091
_cell_length_b 14.1023
_cell_length_c 7.6367
_cell_angle_alpha 90.00
_cell_angle_beta 111.47
_cell_angle_gamma 90.00
_symmetry_space_group_name_H-M 'C 1 2/m 1'
_symmetry_Int_Tables_number 12
_symmetry_space_group_name_Hall '-C 2y'
loop_
_atom_site_label
_atom_site_type_symbol
_atom_site_fract_x
_atom_site_fract_y
_atom_site_fract_z
_atom_site_occupancy
Y1 Y 0.0000 0.0000 0.0000 1
Cd1 Cd 0.0000 0.5000 0.5000 1
Cd2 Cd 0.1071 0.3946 0.2076 1
Cd3 Cd 0.1686 0.1761 0.3439 1
Au1 Au 0.0000 0.0000 0.5000 1
Au2 Au 0.2500 0.2500 0.0000 1
# calculated total energy = -27.0 eV per formula unit

Entry 7:
# FeRe3W, relaxed, DFT PBE-GGA
data_FeRe3W
_chemical_formula_sum 'Fe1 Re3 W1'
_cell_length_a 4.6685
_cell_length_b 4.6685
_cell_length_c 4.6685
_cell_angle_alpha 90.00
_cell_angle_beta 90.00
_cell_angle_gamma 90.00
_symmetry_space_group_name_H-M 'P m -3 m'
_symmetry_Int_Tables_number 221
_symmetry_space_group_name_Hall '-P 4 2 3'
loop_
_atom_site_label
_atom_site_type_symbol
_atom_site_fract_x
_atom_site_fract_y
_atom_site_fract_z
_atom_site_occupancy
Fe1 Fe 0.0000 0.0000 0.0000 1
Re1 Re 0.0000 0.5000 0.5000 1
W1 W 0.5000 0.5000 0.5000 1
# relative energy among the computed polymorphs = 1127.1 meV per atom

Entry 8:
# NbRhS2N, relaxed, DFT PBE-GGA
data_NbRhS2N
_chemical_formula_sum 'Nb1 Rh1 S2 N1'
_cell_length_a 4.8996
_cell_length_b 4.8996
_cell_length_c 3.8799
_cell_angle_alpha 90.00
_cell_angle_beta 90.00
_cell_angle_gamma 90.00
_symmetry_space_group_name_H-M 'P 4/m m m'
_symmetry_Int_Tables_number 123
_symmetry_space_group_name_Hall '-P 4 2'
loop_
_atom_site_label
_atom_site_type_symbol
_atom_site_fract_x
_atom_site_fract_y
_atom_site_fract_z
_atom_site_occupancy
Nb1 Nb 0.0000 0.0000 0.0000 1
Rh1 Rh 0.5000 0.5000 0.5000 1
S1 S 0.0000 0.5000 0.0000 1
N1 N 0.0000 0.0000 0.5000 1
# formation energy (no corrections) = 2.283 eV/f.u.
# relative energy among the computed polymorphs = 0.0 meV per atom

Entry 9:
# WI2Br8, relaxed, DFT PBE-GGA
data_WI2Br8
_chemical_formula_sum 'W1 I2 Br8'
_cell_length_a 8.1369
_cell_length_b 8.2548
_cell_length_c 8.7363
_cell_angle_alpha 63.65
_cell_angle_beta 64.65
_cell_angle_gamma 75.56
_symmetry_space_group_name_H-M 'P -1'
_symmetry_Int_Tables_number 2
_symmetry_space_group_name_Hall '-P 1'
loop_
_atom_site_label
_atom_site_type_symbol
_atom_site_fract_x
_atom_site_fract_y
_atom_site_fract_z
_atom_site_occupancy
W1 W 0.0000 0.0000 0.0000 1
I1 I 0.2658 0.4637 0.2901 1
Br1 Br 0.0305 0.3392 0.8554 1
Br2 Br 0.0440 0.0044 0.7009 1
Br3 Br 0.3295 0.9448 0.9270 1
Br4 Br 0.4649 0.6963 0.6083 1
# formation energy (no corrections) = -2.950 eV/f.u.

Entry 10:
# SrAc2HgN, relaxed, DFT PBE-GGA
data_SrAc2HgN
_chemical_formula_sum 'Sr1 Ac2 Hg1 N1'
_cell_length_a 5.3251
_cell_length_b 5.3251
_cell_length_c 5.2852
_cell_angle_alpha 90.00
_cell_angle_beta 90.00
_cell_angle_gamma 90.00
_symmetry_space_group_name_H-M 'P 4/m m m'
_symmetry_Int_Tables_number 123
_symmetry_space_group_name_Hall '-P 4 2'
loop_
_atom_site_label
_atom_site_type_symbol
_atom_site_fract_x
_atom_site_fract_y
_atom_site_fract_z
_atom_site_occupancy
Sr1 Sr 0.0000 0.0000 0.0000 1
Ac1 Ac 0.0000 0.5000 0.5000 1
Hg1 Hg 0.5000 0.5000 0.0000 1
N1 N 0.0000 0.0000 0.5000 1
# formation energy (no corrections) = -2.916 eV/f.u.